The following is a SCAN calculation of a PBEsol-optimized structure of Cu3SbS3, from Alexandria.

Results
raw formation energy	-1.6	eV/f.u.
offset from the most stable computed form	0.12	kcal/mol of atoms

a = 7.5100 Å, b = 9.9669 Å, c = 13.3013 Å
α = 90.00°, β = 90.09°, γ = 90.00°
Last column: nearest neighbours and their distance in Å.
Space group P2_1/c (No. 14)
Asymmetric unit:
Cu1 0.0575 0.0455 0.3549  3 S 2.22-2.30
Cu2 0.1708 0.6019 0.7019  3 S 2.22-2.30
Cu3 0.2564 0.1135 0.9363  3 S 2.26-2.32
Cu4 0.2735 0.6223 0.1793  3 S 2.23-2.27
Cu5 0.3352 0.1099 0.4522  3 S 2.22-2.29
Cu6 0.4282 0.5201 0.5900  3 S 2.25-2.27
Sb1 0.1988 0.7503 0.4500  3 S 2.48-2.54
Sb2 0.2994 0.2431 0.7033  3 S 2.47-2.53
S1 0.0586 0.2332 0.8360  3 Cu 2.22-2.32
S2 0.1596 0.0797 0.0953  3 Cu 2.25-2.30, 1 Sb 2.51
S3 0.1873 0.0631 0.5923  3 Cu 2.22-2.27, 1 Sb 2.47
S4 0.3233 0.5679 0.8435  3 Cu 2.23-2.30, 1 Sb 2.48
S5 0.3251 0.5733 0.3405  3 Cu 2.23-2.31, 1 Sb 2.48
S6 0.4462 0.7472 0.5802  3 Cu 2.22-2.27

=====

The following is a SCAN calculation of a PBEsol-optimized structure of CuOs2Ru, from Alexandria.

Results
N(E_F)	1.0287	states/eV per atom
E_form	613	meV/atom
offset from the most stable computed form	8.31	kcal/mol of atoms

a = 5.2610 Å, b = 8.8493 Å, c = 2.6577 Å
α = 90.00°, β = 118.00°, γ = 90.00°
Last column: nearest neighbours and their distance in Å.
Space group C2/m (No. 12)
Asymmetric unit:
Cu1 0.0000 0.0000 0.0000  4 Os 2.60, 4 Ru 2.63-2.72, 2 Cu 2.66
Os1 0.2500 0.2500 0.5000  2 Cu 2.60, 2 Ru 2.60, 6 Os 2.63-2.72
Ru1 0.0000 0.5000 0.0000  4 Os 2.60, 4 Cu 2.63-2.72, 2 Ru 2.66

=====

The following is a SCAN calculation of a PBEsol-optimized structure of V6SiGe, from Alexandria.

Results
N(E_F)	1.6986	states/eV per atom
raw formation energy	-3.5	eV/f.u.

a = 4.6686 Å, b = 4.6686 Å, c = 4.6686 Å
α = 90.00°, β = 90.00°, γ = 90.00°
Last column: nearest neighbours and their distance in Å.
Space group Pm-3 (No. 200)
Asymmetric unit:
V1 0.0000 0.2571 0.5000  2 V 2.27-2.40
Si1 0.5000 0.5000 0.5000  12 V 2.60
Ge1 0.0000 0.0000 0.0000  12 V 2.62

=====

The following is a SCAN calculation of a PBEsol-optimized structure of NaIn2AsW, from Alexandria.

Results
N(E_F)	0.5463	states/eV per atom
E_form	1871	meV/atom

a = 5.0195 Å, b = 5.0195 Å, c = 5.0341 Å
α = 90.00°, β = 90.00°, γ = 90.00°
Last column: nearest neighbours and their distance in Å.
Space group P4/mmm (No. 123)
Asymmetric unit:
Na1 0.0000 0.0000 0.0000  4 In 2.51, 2 W 2.52
In1 0.0000 0.5000 0.0000  2 Na 2.51
As1 0.5000 0.5000 0.5000  4 W 3.55, 8 In 3.55
W1 0.0000 0.0000 0.5000  2 Na 2.52

=====

The following is a SCAN calculation of a PBEsol-optimized structure of LaBeRh3, from Alexandria.

Results
N(E_F)	0.8394	states/eV per atom
E_form	1480	meV/atom

a = 4.7782 Å, b = 4.7782 Å, c = 4.7782 Å
α = 90.00°, β = 90.00°, γ = 90.00°
Last column: nearest neighbours and their distance in Å.
Space group Pm-3m (No. 221)
Asymmetric unit:
La1 0.0000 0.0000 0.0000  6 Rh 2.39
Be1 0.5000 0.5000 0.5000  12 Rh 3.38
Rh1 0.0000 0.0000 0.5000  2 La 2.39

=====

The following is a SCAN calculation of a PBEsol-optimized structure of Li2LaTa, from Alexandria.

Results
N(E_F)	0.7629	states/eV per atom
E_form	533	meV/atom
offset from the most stable computed form	1.54	kcal/mol of atoms

a = 3.0807 Å, b = 5.0268 Å, c = 5.5577 Å
α = 90.00°, β = 90.00°, γ = 90.00°
Last column: nearest neighbours and their distance in Å.
Space group Pmmm (No. 47)
Asymmetric unit:
Li1 0.0000 0.0000 0.0000  6 Li 2.95-3.08, 4 Ta 3.18
Li2 0.5000 0.5000 0.0000  6 Li 2.95-3.08, 4 La 3.18
La1 0.0000 0.5000 0.5000  4 Ta 2.95, 2 La 3.08, 4 Li 3.18
Ta1 0.5000 0.0000 0.5000  4 La 2.95, 2 Ta 3.08, 4 Li 3.18

=====

Question: What is the formula in the second record?
Answer: CuOs2Ru

=====

Question: What is the formula in the third record?
Answer: V6SiGe